# GGA-PBE MnNb2Re, optimized geometry
# Final energy in eV per atom: -10.6194
# Total magnetization in μB per cell: 0.000
# Formation enthalpy at 0 K in eV per atom: -0.180
# Crystal system: tetragonal
data_MnNb2Re
_space_group_name_H-M_alt 'P 4/m m m'
_space_group_IT_number 123
_space_group_name_Hall '-P 4 2'
_cell_length_a 3.150
_cell_length_b 3.150
_cell_length_c 6.286
_cell_angle_alpha 90.00
_cell_angle_beta 90.00
_cell_angle_gamma 90.00
loop_
_atom_site_label
_atom_site_fract_x
_atom_site_fract_y
_atom_site_fract_z
Mn1 0.000 0.000 0.000
Nb1 0.500 0.500 0.243
Re1 0.000 0.000 0.500